1.
# ScNiPt

ScNiPt after structural relaxation (PBE, Alexandria).

Lattice parameters (Å, degrees): 2.931 3.687 8.605 90.00 90.00 90.00
Space group Imm2 (No. 44)
Inequivalent atoms, fractional coordinates:
Sc (0.000, 0.000, 0.000) (multiplicity 2)
Ni (0.000, 0.000, 0.665) (multiplicity 2)
Pt (0.000, 0.000, 0.327) (multiplicity 2)

Summary:
- Electronic total energy: -20.2 eV/f.u.
- Calculated density: 10.7 g/cm³
- Formation enthalpy at 0 K: -2.1 eV/f.u.
- N(E_F): 4.7 states/eV/cell

***

2.
# Sc3Ni2Pt2

Sc3Ni2Pt2 after structural relaxation (PBE, Alexandria).

Lattice parameters (Å, degrees): 8.948 4.041 6.433 90.00 92.56 90.00
Space group C2/m (No. 12)
Inequivalent atoms, fractional coordinates:
Sc (0.000, 0.000, 0.000) (multiplicity 2)
Sc (0.136, 0.500, 0.660) (multiplicity 4)
Ni (0.082, 0.000, 0.371) (multiplicity 4)
Pt (0.192, 0.500, 0.147) (multiplicity 4)

Summary:
- Electronic total energy: -48.4 eV/f.u.
- Calculated density: 9.2 g/cm³
- Formation enthalpy at 0 K: -5.7 eV/f.u.
- N(E_F): 8.5 states/eV/cell